# LaYMo2 PBE-GGA optimized geometry
data_LaYMo2
_chemical_formula_sum 'La4 Y4 Mo8'
_cell_length_a 7.829
_cell_length_b 7.829
_cell_length_c 6.016
_cell_angle_alpha 90.00
_cell_angle_beta 90.00
_cell_angle_gamma 90.00
_space_group_name_H-M_alt 'I -4 2 d'
_space_group_IT_number 122
_space_group_name_Hall 'I -4 2bw'
loop_
_atom_site_label
_atom_site_type_symbol
_atom_site_fract_x
_atom_site_fract_y
_atom_site_fract_z
La1 La 0.000 0.000 0.000
Y1 Y 0.000 0.000 0.500
Mo1 Mo 0.243 0.250 0.125
# calculated volume	23.05	A^3/atom
# size of the total moment	0.00	μB/cell
# formation enthalpy at 0 K	104	kJ/mol of atoms
# DOS at the Fermi energy	36.6	states/eV/cell
# theoretical density	7.6	g/cm³